This record from Alexandria describes an optimized crystal structure of LaY5Er2. The functional is GGA-PBE.

Cell lengths 7.167, 14.350, 5.044 Å; angles 90.00, 90.00, 90.00 degrees
Atoms (fractional coordinates):
La (0.000, 0.000, 0.000)
La (0.500, 0.500, 0.000)
Y (0.000, 0.500, 0.000)
Y (0.002, 0.252, 0.000)
Y (0.248, 0.626, 0.500)
Y (0.252, 0.126, 0.500)
Y (0.498, 0.752, 0.000)
Y (0.500, 0.000, 0.000)
Y (0.502, 0.248, 0.000)
Y (0.748, 0.874, 0.500)
Y (0.752, 0.374, 0.500)
Y (0.998, 0.748, 0.000)
Er (0.250, 0.374, 0.500)
Er (0.250, 0.874, 0.500)
Er (0.750, 0.126, 0.500)
Er (0.750, 0.626, 0.500)

## Properties
space group: Pbam (55)
electronic total energy: -46.15 eV/f.u.
ρ: 5.876 g cm⁻³
E above lowest polymorph: 14.7 meV per atom
E_form: 0.028 eV/atom
total magnetization: 0.00 μB/f.u.

This record from Alexandria describes an optimized crystal structure of BeCdW2. The functional is GGA-PBE.

Cell lengths 9.459, 9.459, 9.459 Å; angles 17.05, 17.05, 17.05 degrees
Atoms (fractional coordinates):
Be (0.000, 0.000, 0.000)
Cd (0.748, 0.748, 0.748)
W (0.263, 0.263, 0.263)
W (0.509, 0.509, 0.509)

## Properties
space group: R3m (160)
electronic total energy: -28.53 eV/f.u.
ρ: 12.800 g cm⁻³
E above lowest polymorph: 154.2 meV per atom
E_form: 0.505 eV/atom
total magnetization: 0.00 μB/f.u.

This record from Alexandria describes an optimized crystal structure of Ac6PtAu3. The functional is GGA-PBE.

Cell lengths 11.973, 4.241, 14.539 Å; angles 90.00, 111.04, 90.00 degrees
Atoms (fractional coordinates):
Ac (0.021, 0.250, 0.379)
Ac (0.072, 0.250, 0.895)
Ac (0.257, 0.750, 0.318)
Ac (0.324, 0.750, 0.788)
Ac (0.356, 0.750, 0.105)
Ac (0.401, 0.250, 0.578)
Ac (0.599, 0.750, 0.422)
Ac (0.644, 0.250, 0.895)
Ac (0.676, 0.250, 0.212)
Ac (0.743, 0.250, 0.682)
Ac (0.928, 0.750, 0.105)
Ac (0.979, 0.750, 0.621)
Pt (0.444, 0.250, 0.276)
Pt (0.556, 0.750, 0.724)
Au (0.144, 0.250, 0.137)
Au (0.185, 0.750, 0.534)
Au (0.396, 0.250, 0.956)
Au (0.604, 0.750, 0.044)
Au (0.815, 0.250, 0.466)
Au (0.856, 0.750, 0.863)

## Properties
space group: P2_1/m (11)
electronic total energy: -47.15 eV/f.u.
ρ: 10.354 g cm⁻³
E_form: -0.663 eV/atom
total magnetization: 0.00 μB/f.u.

This record from Alexandria describes an optimized crystal structure of Ce2TlC2. The functional is GGA-PBE.

Cell lengths 8.588, 8.588, 6.530 Å; angles 100.66, 100.66, 26.94 degrees
Atoms (fractional coordinates):
Ce (0.016, 0.662, 0.851)
Ce (0.338, 0.984, 0.649)
Ce (0.662, 0.016, 0.351)
Ce (0.984, 0.338, 0.149)
Tl (0.340, 0.660, 0.250)
Tl (0.660, 0.340, 0.750)
C (0.148, 0.402, 0.472)
C (0.402, 0.148, 0.972)
C (0.598, 0.852, 0.028)
C (0.852, 0.598, 0.528)

## Properties
space group: C2/c (15)
electronic total energy: -34.04 eV/f.u.
ρ: 7.884 g cm⁻³
E_form: -0.273 eV/atom
total magnetization: 0.00 μB/f.u.